(1)
Compound: FeCuNi2
Source: Alexandria
Functional: GGA-PBE
Structure: relaxed

Cell: 2.5115 3.6177 5.0047 Å, 90.00 90.00 90.00°
Closest atoms and distances in Å follow each position.
Positions (direct):
Fe1 0.0000 0.0000 0.0000  6 Ni 2.47-2.53, 2 Fe 2.51, 4 Cu 2.57
Cu1 0.5000 0.5000 0.7370  6 Ni 2.49-2.52, 2 Cu 2.51, 4 Fe 2.57
Ni1 0.0000 0.0000 0.4943  2 Fe 2.47-2.53, 6 Ni 2.51-2.54, 4 Cu 2.51
Ni2 0.5000 0.5000 0.2399  2 Cu 2.49-2.52, 4 Fe 2.51, 6 Ni 2.51-2.54

Summary:
Mass density, g cm⁻³: 8.65
Volume, Å³ per cell: 45
Total DFT energy (no corrections), eV per atom: -6.02
D(E_F), states/eV per cell: 2.7

(2)
Compound: FeCu2Ni
Source: Alexandria
Functional: GGA-PBE
Structure: relaxed

Cell: 5.2223 5.2223 5.2223 Å, 102.26 102.26 125.11°
Closest atoms and distances in Å follow each position.
Positions (direct):
Fe1 0.0000 0.0000 0.0000  2 Ni 2.41, 4 Cu 2.42
Fe2 0.7500 0.2500 0.5000  2 Ni 2.41, 4 Cu 2.42
Cu1 0.1308 0.1250 0.5058  2 Ni 2.37, 2 Cu 2.41, 2 Fe 2.42
Cu2 0.3750 0.8692 0.9942  2 Ni 2.37, 2 Cu 2.41, 2 Fe 2.42
Cu3 0.6192 0.6250 0.4942  2 Ni 2.37, 2 Cu 2.41, 2 Fe 2.42
Cu4 0.8750 0.3808 0.0058  2 Ni 2.37, 2 Cu 2.41, 2 Fe 2.42
Ni1 0.2500 0.7500 0.5000  4 Cu 2.37, 2 Fe 2.41
Ni2 0.5000 0.5000 0.0000  4 Cu 2.37, 2 Fe 2.41

Summary:
Mass density, g cm⁻³: 7.76
Volume, Å³ per cell: 103
Total DFT energy (no corrections), eV per atom: -5.11
D(E_F), states/eV per cell: 8.9

(3)
Compound: FeCu2Ni
Source: Alexandria
Functional: GGA-PBE
Structure: relaxed

Cell: 2.4608 2.4608 8.4180 Å, 90.00 90.00 113.79°
Closest atoms and distances in Å follow each position.
Positions (direct):
Fe1 0.0000 0.0000 0.0000  6 Fe 2.46-2.69, 4 Cu 2.52
Cu1 0.5000 0.5000 0.2539  6 Cu 2.46-2.69, 2 Ni 2.47, 2 Fe 2.52
Cu2 0.5000 0.5000 0.7461  6 Cu 2.46-2.69, 2 Ni 2.47, 2 Fe 2.52
Ni1 0.0000 0.0000 0.5000  6 Ni 2.46-2.69, 4 Cu 2.47

Summary:
Mass density, g cm⁻³: 8.60
Volume, Å³ per cell: 47
Total DFT energy (no corrections), eV per atom: -5.50
D(E_F), states/eV per cell: 2.8

(4)
Compound: Fe2CuNi
Source: Alexandria
Functional: GGA-PBE
Structure: relaxed

Cell: 4.8780 4.8780 4.8780 Å, 148.42 128.48 61.69°
Closest atoms and distances in Å follow each position.
Positions (direct):
Fe1 0.0000 0.0000 0.0000  2 Ni 2.44, 4 Fe 2.45-2.65, 4 Cu 2.50
Fe2 0.7535 0.2535 0.5000  4 Fe 2.45-2.65, 4 Ni 2.50, 2 Cu 2.53
Cu1 0.4966 0.4966 0.0000  2 Ni 2.49, 6 Fe 2.50-2.53, 2 Cu 2.65
Ni1 0.2448 0.7448 0.5000  6 Fe 2.44-2.50, 2 Cu 2.49, 2 Ni 2.65

Summary:
Mass density, g cm⁻³: 8.24
Volume, Å³ per cell: 47
Total DFT energy (no corrections), eV per atom: -6.59
D(E_F), states/eV per cell: 2.9

(5)
Compound: Fe3CuNi4
Source: Alexandria
Functional: GGA-PBE
Structure: relaxed

Cell: 2.6227 4.2030 8.3822 Å, 90.00 90.00 90.00°
Closest atoms and distances in Å follow each position.
Positions (direct):
Fe1 0.0000 0.0000 0.0000  8 Ni 2.44-2.48, 2 Fe 2.62
Fe2 0.0000 0.5000 0.2530  8 Ni 2.45-2.49, 2 Fe 2.62
Fe3 0.0000 0.5000 0.7470  8 Ni 2.45-2.49, 2 Fe 2.62
Cu1 0.0000 0.0000 0.5000  8 Ni 2.48-2.50, 2 Cu 2.62
Ni1 0.5000 0.0000 0.2454  6 Fe 2.44-2.48, 2 Cu 2.50, 2 Ni 2.62
Ni2 0.5000 0.0000 0.7546  6 Fe 2.44-2.48, 2 Cu 2.50, 2 Ni 2.62
Ni3 0.5000 0.5000 0.0000  8 Fe 2.48-2.49, 2 Ni 2.62
Ni4 0.5000 0.5000 0.5000  4 Fe 2.45, 4 Cu 2.48, 2 Ni 2.62

Summary:
Mass density, g cm⁻³: 8.37
Volume, Å³ per cell: 92
Total DFT energy (no corrections), eV per atom: -6.53
D(E_F), states/eV per cell: 8.6

(6)
Compound: FeCuNi
Source: Alexandria
Functional: GGA-PBE
Structure: relaxed

Cell: 4.0351 4.0351 2.4649 Å, 90.00 90.00 120.00°
Closest atoms and distances in Å follow each position.
Positions (direct):
Fe1 0.0000 0.0000 0.0000  3 Ni 2.44, 2 Fe 2.46, 3 Cu 2.49
Cu1 0.3333 0.6667 0.6405  2 Cu 2.46, 3 Ni 2.49, 3 Fe 2.49
Ni1 0.6667 0.3333 0.2889  3 Fe 2.44, 2 Ni 2.46, 3 Cu 2.49

Summary:
Mass density, g cm⁻³: 8.51
Volume, Å³ per cell: 35
Total DFT energy (no corrections), eV per atom: -6.04
D(E_F), states/eV per cell: 2.3

(7)
Compound: FeCuNi
Source: Alexandria
Functional: GGA-PBE
Structure: relaxed

Cell: 4.4055 4.4055 4.3987 Å, 99.00 99.00 121.08°
Closest atoms and distances in Å follow each position.
Positions (direct):
Fe1 0.0000 0.0000 0.0000  3 Fe 2.49-2.60, 5 Ni 2.51-2.53, 4 Cu 2.55-2.57
Fe2 0.6611 0.3389 0.0000  3 Fe 2.49-2.60, 5 Ni 2.52-2.55, 4 Cu 2.54-2.55
Cu1 0.4916 0.5084 0.5000  5 Ni 2.51-2.57, 3 Cu 2.51-2.56, 4 Fe 2.55
Cu2 0.8256 0.1744 0.5000  3 Cu 2.51-2.56, 5 Ni 2.52-2.55, 4 Fe 2.54-2.57
Ni1 0.1573 0.8427 0.5000  4 Fe 2.51-2.55, 6 Cu 2.51-2.57, 2 Ni 2.56
Ni2 0.3289 0.6711 0.0000  6 Fe 2.52-2.55, 4 Cu 2.53-2.55, 2 Ni 2.56

Summary:
Mass density, g cm⁻³: 8.53
Volume, Å³ per cell: 69
Total DFT energy (no corrections), eV per atom: -6.03
D(E_F), states/eV per cell: 5.7

(8)
Compound: Fe5CuNi4
Source: Alexandria
Functional: GGA-PBE
Structure: relaxed

Cell: 4.3574 5.0869 5.6357 Å, 76.63 75.18 74.10°
Closest atoms and distances in Å follow each position.
Positions (direct):
Fe1 0.0000 0.0000 0.0000  6 Fe 2.51-2.53, 2 Cu 2.54, 4 Ni 2.54-2.56
Fe2 0.1993 0.3045 0.6004  7 Ni 2.49-2.55, 4 Fe 2.52-2.56, 1 Cu 2.53
Fe3 0.3987 0.0989 0.1998  6 Ni 2.48-2.55, 5 Fe 2.51-2.56, 1 Cu 2.54
Fe4 0.6013 0.9011 0.8002  6 Ni 2.48-2.55, 5 Fe 2.51-2.56, 1 Cu 2.54
Fe5 0.8007 0.6955 0.3996  7 Ni 2.49-2.55, 4 Fe 2.52-2.56, 1 Cu 2.53
Cu1 0.0000 0.5000 0.0000  6 Ni 2.52-2.54, 6 Fe 2.53-2.54
Ni1 0.2010 0.8044 0.5966  8 Fe 2.48-2.55, 3 Ni 2.51-2.54, 1 Cu 2.54
Ni2 0.4027 0.5958 0.2005  7 Fe 2.49-2.56, 2 Cu 2.52, 3 Ni 2.52-2.54
Ni3 0.5973 0.4042 0.7995  7 Fe 2.49-2.56, 2 Cu 2.52, 3 Ni 2.52-2.54
Ni4 0.7990 0.1956 0.4034  8 Fe 2.48-2.55, 3 Ni 2.51-2.54, 1 Cu 2.54

Summary:
Mass density, g cm⁻³: 8.38
Volume, Å³ per cell: 114
Total DFT energy (no corrections), eV per atom: -6.95
D(E_F), states/eV per cell: 8.7

(9)
Compound: FeCuNi
Source: Alexandria
Functional: GGA-PBE
Structure: relaxed

Cell: 4.4014 4.4014 4.3869 Å, 100.05 100.05 119.46°
Closest atoms and distances in Å follow each position.
Positions (direct):
Fe1 0.1692 0.8308 0.0000  4 Ni 2.51-2.52, 5 Cu 2.51-2.56, 3 Fe 2.54-2.57
Fe2 0.8308 0.1692 0.0000  4 Ni 2.51-2.52, 5 Cu 2.51-2.56, 3 Fe 2.54-2.57
Cu1 0.0000 0.0000 0.5000  6 Ni 2.50-2.57, 2 Cu 2.52, 4 Fe 2.54
Cu2 0.5000 0.5000 0.0000  6 Fe 2.51-2.56, 2 Cu 2.52, 4 Ni 2.55
Ni1 0.3291 0.6709 0.5000  5 Cu 2.50-2.57, 4 Fe 2.51-2.52, 3 Ni 2.52-2.60
Ni2 0.6709 0.3291 0.5000  5 Cu 2.50-2.57, 4 Fe 2.51-2.52, 3 Ni 2.52-2.60

Summary:
Mass density, g cm⁻³: 8.52
Volume, Å³ per cell: 69
Total DFT energy (no corrections), eV per atom: -6.02
D(E_F), states/eV per cell: 7.3

(10)
Compound: FeCuNi2
Source: Alexandria
Functional: GGA-PBE
Structure: relaxed

Cell: 4.4233 4.4233 4.4233 Å, 133.01 133.01 68.64°
Closest atoms and distances in Å follow each position.
Positions (direct):
Fe1 0.0000 0.0000 0.0000  8 Ni 2.49-2.54, 4 Cu 2.54
Cu1 0.7500 0.2500 0.5000  8 Ni 2.49-2.54, 4 Fe 2.54
Ni1 0.2500 0.7500 0.5000  4 Cu 2.49, 4 Fe 2.54, 4 Ni 2.54
Ni2 0.5000 0.5000 0.0000  4 Fe 2.49, 4 Ni 2.54, 4 Cu 2.54

Summary:
Mass density, g cm⁻³: 8.65
Volume, Å³ per cell: 45
Total DFT energy (no corrections), eV per atom: -6.03
D(E_F), states/eV per cell: 2.6

(11)
Compound: FeCu5Ni4
Source: Alexandria
Functional: GGA-PBE
Structure: relaxed

Cell: 6.4018 6.4018 6.1587 Å, 117.39 117.39 33.95°
Closest atoms and distances in Å follow each position.
Positions (direct):
Fe1 0.0000 0.0000 0.0000  6 Ni 2.35-2.43
Cu1 0.0000 0.0000 0.5000  6 Ni 2.46-2.53, 4 Cu 2.55
Cu2 0.3129 0.3129 0.8790  3 Cu 2.46-2.50, 5 Ni 2.47-2.65
Cu3 0.3408 0.3408 0.3017  5 Ni 2.42-2.64, 5 Cu 2.46-2.55
Cu4 0.6592 0.6592 0.6983  5 Ni 2.42-2.64, 5 Cu 2.46-2.55
Cu5 0.6871 0.6871 0.1210  3 Cu 2.46-2.50, 5 Ni 2.47-2.65
Ni1 0.1775 0.1775 0.4158  7 Cu 2.42-2.65, 1 Fe 2.43, 4 Ni 2.44-2.49
Ni2 0.4748 0.4748 0.7489  2 Fe 2.35, 6 Cu 2.42-2.53, 2 Ni 2.49
Ni3 0.5252 0.5252 0.2511  2 Fe 2.35, 6 Cu 2.42-2.53, 2 Ni 2.49
Ni4 0.8225 0.8225 0.5842  7 Cu 2.42-2.65, 1 Fe 2.43, 4 Ni 2.44-2.49

Summary:
Mass density, g cm⁻³: 8.17
Volume, Å³ per cell: 124
Total DFT energy (no corrections), eV per atom: -5.03
D(E_F), states/eV per cell: 7.0

(12)
Compound: FeCu2Ni6
Source: Alexandria
Functional: GGA-PBE
Structure: relaxed

Cell: 6.9679 6.9679 2.4301 Å, 90.00 90.00 120.00°
Closest atoms and distances in Å follow each position.
Positions (direct):
Fe1 0.0000 0.0000 0.0000  6 Ni 2.37, 2 Fe 2.43
Cu1 0.3333 0.6667 0.5000  6 Ni 2.42, 2 Cu 2.43
Cu2 0.6667 0.3333 0.5000  6 Ni 2.42, 2 Cu 2.43
Ni1 0.0000 0.3313 0.2298  1 Fe 2.37, 2 Cu 2.42, 7 Ni 2.43-2.66
Ni2 0.0000 0.6687 0.7702  1 Fe 2.37, 2 Cu 2.42, 7 Ni 2.43-2.66
Ni3 0.3313 0.0000 0.2298  1 Fe 2.37, 2 Cu 2.42, 7 Ni 2.43-2.66
Ni4 0.3313 0.3313 0.7702  1 Fe 2.37, 2 Cu 2.42, 7 Ni 2.43-2.66
Ni5 0.6687 0.0000 0.7702  1 Fe 2.37, 2 Cu 2.42, 7 Ni 2.43-2.66
Ni6 0.6687 0.6687 0.2298  1 Fe 2.37, 2 Cu 2.42, 7 Ni 2.43-2.66

Summary:
Mass density, g cm⁻³: 8.70
Volume, Å³ per cell: 102
Total DFT energy (no corrections), eV per atom: -5.61
D(E_F), states/eV per cell: 13.0